(1)
## AcH2 (meta-GGA SCAN)

Data for AcH2 at its PBEsol-relaxed geometry.

## Properties
Magnetic moment ... 0.0 μB per formula unit
Raw total energy ... -33.142 eV per atom

Structure (POSCAR):
```
AcH2
1.0
4.1135 0.0000 0.0000
2.0567 3.5624 0.0000
2.0567 1.1875 3.3587
H Ac
2 1
direct
0.7500 0.7500 0.7500
0.2500 0.2500 0.2500
0.0000 0.0000 0.0000
```

=====

(2)
## AcHg3 (meta-GGA SCAN)

Data for AcHg3 at its PBEsol-relaxed geometry.

## Properties
Magnetic moment ... 0.0 μB per formula unit
Calculated formation energy ... -218 kJ/mol of formula units
Raw total energy ... -74.308 eV per atom

Structure (POSCAR):
```
AcHg3
1.0
-2.1551 -4.5310 0.3675
5.7791 -2.5049 3.0069
-5.0764 2.7336 3.9334
Ac Hg
2 6
direct
0.7500 0.3333 0.6667
0.2500 0.6667 0.3333
0.2500 0.1546 0.3091
0.7500 0.8454 0.1546
0.7500 0.3091 0.1546
0.7500 0.8454 0.6909
0.2500 0.1546 0.8454
0.2500 0.6909 0.8454
```

=====

(3)
## NaAcHg2 (meta-GGA SCAN)

Data for NaAcHg2 at its PBEsol-relaxed geometry.

## Properties
Magnetic moment ... 0.0 μB per formula unit
Calculated formation energy ... -211 kJ/mol of formula units
Raw total energy ... -58.303 eV per atom

Structure (POSCAR):
```
NaAcHg2
1.0
5.3878 0.0000 0.0000
2.6939 4.6660 0.0000
2.6939 1.5553 4.3991
Ac Hg Na
1 2 1
direct
0.5000 0.5000 0.5000
0.2500 0.2500 0.2500
0.7500 0.7500 0.7500
0.0000 0.0000 0.0000
```

=====

(4)
## AcHgRh2 (meta-GGA SCAN)

Data for AcHgRh2 at its PBEsol-relaxed geometry.

## Properties
Magnetic moment ... 0.0 μB per formula unit
Calculated formation energy ... -126 kJ/mol of formula units
Raw total energy ... -56.873 eV per atom

Structure (POSCAR):
```
AcHgRh2
1.0
4.8159 0.0000 0.0000
2.4079 4.1707 0.0000
2.4079 1.3902 3.9321
Hg Ac Rh
1 1 2
direct
0.0000 0.0000 0.0000
0.5000 0.5000 0.5000
0.2500 0.2500 0.2500
0.7500 0.7500 0.7500
```

=====

(5)
## Ac2SnHg (meta-GGA SCAN)

Data for Ac2SnHg at its PBEsol-relaxed geometry.

## Properties
Magnetic moment ... 0.0 μB per formula unit
Calculated formation energy ... -270 kJ/mol of formula units
Raw total energy ... -71.958 eV per atom

Structure (POSCAR):
```
Ac2SnHg
1.0
-5.0186 -2.4365 0.9285
-0.7820 -5.4483 -1.2997
-0.5622 -3.8367 4.1169
Ac Hg Sn
2 1 1
direct
0.2500 0.2500 0.2500
0.7500 0.7500 0.7500
0.5000 0.5000 0.5000
0.0000 0.0000 0.0000
```

=====

(6)
## Ac3Ho (meta-GGA SCAN)

Data for Ac3Ho at its PBEsol-relaxed geometry.

## Properties
Magnetic moment ... 0.0 μB per formula unit
Calculated formation energy ... 18 kJ/mol of formula units
Raw total energy ... -80.055 eV per atom

Structure (POSCAR):
```
Ac3Ho
1.0
-0.1024 1.4581 5.9437
-0.5462 -7.4215 1.8112
6.8881 3.2776 -0.6854
Ho Ac
2 6
direct
0.2500 0.6667 0.3333
0.7500 0.3333 0.6667
0.2500 0.1695 0.8305
0.7500 0.8305 0.6610
0.2500 0.6610 0.8305
0.2500 0.1695 0.3390
0.7500 0.3390 0.1695
0.7500 0.8305 0.1695
```

=====

(7)
## NaAcIn2 (meta-GGA SCAN)

Data for NaAcIn2 at its PBEsol-relaxed geometry.

## Properties
Magnetic moment ... 0.0 μB per formula unit
Calculated formation energy ... -165 kJ/mol of formula units
Raw total energy ... -40.794 eV per atom

Structure (POSCAR):
```
NaAcIn2
1.0
-2.0153 -4.1768 2.9680
-0.9014 -4.8837 -2.3776
3.2102 -4.2987 1.2374
Ac In Na
1 2 1
direct
0.0000 0.0000 0.0000
0.7500 0.7500 0.7500
0.2500 0.2500 0.2500
0.5000 0.5000 0.5000
```

=====

(8)
## Ac2ZnIn (meta-GGA SCAN)

Data for Ac2ZnIn at its PBEsol-relaxed geometry.

## Properties
Magnetic moment ... 0.0 μB per formula unit
Calculated formation energy ... -162 kJ/mol of formula units
Raw total energy ... -57.383 eV per atom

Structure (POSCAR):
```
Ac2ZnIn
1.0
5.5843 0.0000 0.0000
2.7922 4.8362 0.0000
2.7922 1.6121 4.5596
In Ac Zn
1 2 1
direct
0.0000 0.0000 0.0000
0.7500 0.7500 0.7500
0.2500 0.2500 0.2500
0.5000 0.5000 0.5000
```

=====

(9)
## Ac2ZnIr (meta-GGA SCAN)

Data for Ac2ZnIr at its PBEsol-relaxed geometry.

## Properties
Magnetic moment ... 0.0 μB per formula unit
Calculated formation energy ... -178 kJ/mol of formula units
Raw total energy ... -66.852 eV per atom

Structure (POSCAR):
```
Ac2ZnIr
1.0
-5.1350 0.0525 -1.1894
-2.4786 -4.5004 -1.1783
-3.5063 -2.0376 3.3674
Ir Zn Ac
1 1 2
direct
0.5000 0.5000 0.5000
0.0000 0.0000 0.0000
0.7500 0.7500 0.7500
0.2500 0.2500 0.2500
```

=====

(10)
## AcLaMg2 (meta-GGA SCAN)

Data for AcLaMg2 at its PBEsol-relaxed geometry.

## Properties
Magnetic moment ... 0.0 μB per formula unit
Calculated formation energy ... -42 kJ/mol of formula units
Raw total energy ... -35.991 eV per atom

Structure (POSCAR):
```
AcLaMg2
1.0
-3.6116 -4.3109 0.3242
-1.0602 -3.1351 -4.5584
1.9018 -5.2949 -0.2813
Ac La Mg
1 1 2
direct
0.0000 0.0000 0.0000
0.5000 0.5000 0.5000
0.7500 0.7500 0.7500
0.2500 0.2500 0.2500
```

=====

(11)
## Li2AcPb (meta-GGA SCAN)

Data for Li2AcPb at its PBEsol-relaxed geometry.

## Properties
Magnetic moment ... 0.0 μB per formula unit
Calculated formation energy ... -173 kJ/mol of formula units
Raw total energy ... -43.208 eV per atom

Structure (POSCAR):
```
Li2AcPb
1.0
-1.3310 -4.5041 2.0273
-0.4513 -4.1207 -2.9974
3.4338 -3.7788 0.3128
Ac Li Pb
1 2 1
direct
0.5000 0.5000 0.5000
0.7500 0.7500 0.7500
0.2500 0.2500 0.2500
0.0000 0.0000 0.0000
```

=====

(12)
## LiAc2Pb (meta-GGA SCAN)

Data for LiAc2Pb at its PBEsol-relaxed geometry.

## Properties
Magnetic moment ... 0.0 μB per formula unit
Calculated formation energy ... -161 kJ/mol of formula units
Raw total energy ... -65.198 eV per atom

Structure (POSCAR):
```
LiAc2Pb
1.0
5.7097 0.0000 0.0000
2.8549 4.9448 0.0000
2.8549 1.6483 4.6620
Li Pb Ac
1 1 2
direct
0.5000 0.5000 0.5000
0.0000 0.0000 0.0000
0.2500 0.2500 0.2500
0.7500 0.7500 0.7500
```